# PrTm2Sn GGA-PBE optimized geometry
data_PrTm2Sn
_symmetry_space_group_name_H-M 'P 1'
_symmetry_Int_Tables_number 1
_cell_length_a 4.744
_cell_length_b 4.644
_cell_length_c 11.405
_cell_angle_alpha 101.63
_cell_angle_beta 90.00
_cell_angle_gamma 90.00
loop_
_symmetry_equiv_pos_as_xyz
'x,y,z'
loop_
_atom_site_label
_atom_site_type_symbol
_atom_site_fract_x
_atom_site_fract_y
_atom_site_fract_z
_atom_site_occupancy
Sn1 Sn 0.750 0.842 0.680 1
Tm1 Tm 0.750 0.063 0.127 1
Tm2 Tm 0.750 0.444 0.888 1
Tm3 Tm 0.250 0.937 0.873 1
Pr1 Pr 0.750 0.691 0.386 1
Sn2 Sn 0.250 0.158 0.320 1
Tm4 Tm 0.250 0.556 0.112 1
Pr2 Pr 0.250 0.309 0.614 1
# Density of states at the Fermi level, states/eV/f.u.: 5.1
# Magnetization, μB per formula unit: 0.3
# Distance to the lowest polymorph of the same formula, meV per atom: 0.0
# Volume, Å³/cell: 246
# ΔE_f, eV per atom: -0.4262